(1)
KCuPb2: relaxed, GGA-PBE.

a = 6.616 Å, b = 6.616 Å, c = 3.289 Å
α = 102.28°, β = 102.28°, γ = 117.21°
Element x y z (fractional)
K: 0.000 0.000 0.000
Cu: 0.500 0.500 0.000
Pb: 0.000 0.500 0.500
Pb: 0.500 0.000 0.500

Values from the calculation:
**M_tot**: 0.000 μB/atom
**DOS(E_F)**: 2.405 states/eV per cell
**Formation energy from the elements**: 333 meV per atom
**Symmetry**: C2/m (12)



(2)
Be2TcF: relaxed, GGA-PBE.

a = 4.011 Å, b = 4.011 Å, c = 4.011 Å
α = 60.00°, β = 60.00°, γ = 60.00°
Element x y z (fractional)
Be: 0.250 0.250 0.250
Be: 0.750 0.750 0.750
Tc: 0.000 0.000 0.000
F: 0.500 0.500 0.500

Values from the calculation:
**M_tot**: 0.500 μB/atom
**DOS(E_F)**: 0.250 states/eV per cell
**Symmetry**: Fm-3m (225)
**Formation energy from raw total energies**: 0.455 eV per atom



(3)
Ti7S12: relaxed, GGA-PBE.

a = 6.832 Å, b = 9.013 Å, c = 11.859 Å
α = 80.60°, β = 89.87°, γ = 79.00°
Element x y z (fractional)
Ti: 0.000 0.000 0.000
Ti: 0.079 0.665 0.501
Ti: 0.170 0.323 0.999
Ti: 0.251 0.001 0.503
Ti: 0.320 0.725 0.733
Ti: 0.334 0.669 0.004
Ti: 0.418 0.337 0.497
Ti: 0.500 0.000 0.000
Ti: 0.582 0.663 0.503
Ti: 0.666 0.331 0.996
Ti: 0.680 0.275 0.267
Ti: 0.749 0.999 0.497
Ti: 0.830 0.677 0.001
Ti: 0.921 0.335 0.499
S: 0.029 0.864 0.628
S: 0.061 0.751 0.123
S: 0.108 0.583 0.877
S: 0.131 0.474 0.377
S: 0.200 0.197 0.620
S: 0.229 0.081 0.122
S: 0.272 0.916 0.873
S: 0.298 0.802 0.384
S: 0.369 0.519 0.630
S: 0.399 0.414 0.126
S: 0.437 0.249 0.877
S: 0.460 0.137 0.372
S: 0.540 0.863 0.628
S: 0.563 0.751 0.123
S: 0.601 0.586 0.874
S: 0.631 0.481 0.370
S: 0.702 0.198 0.616
S: 0.728 0.084 0.127
S: 0.771 0.919 0.878
S: 0.800 0.803 0.380
S: 0.869 0.526 0.623
S: 0.892 0.417 0.123
S: 0.939 0.249 0.877
S: 0.971 0.136 0.372

Values from the calculation:
**M_tot**: 0.000 μB/atom
**DOS(E_F)**: 16.250 states/eV per cell
**Symmetry**: P-1 (2)
**Formation energy from raw total energies**: -1.361 eV per atom



(4)
CoBSbTe2: relaxed, GGA-PBE.

a = 5.152 Å, b = 5.152 Å, c = 4.708 Å
α = 90.00°, β = 90.00°, γ = 90.00°
Element x y z (fractional)
Co: 0.000 0.000 0.000
B: 0.500 0.500 0.500
Sb: 0.000 0.000 0.500
Te: 0.000 0.500 0.000
Te: 0.500 0.000 0.000

Values from the calculation:
**M_tot**: 0.000 μB/atom
**DOS(E_F)**: 5.501 states/eV per cell
**Symmetry**: P4/mmm (123)
**Formation energy from raw total energies**: 1.180 eV per atom



Which of these has the highest M_tot? Be2TcF